Record 1
Density functional theory data (SCAN) for SrBi2P2 at its PBEsol-relaxed geometry.

a b c (Å): 8.1767 8.1767 3.9296
angles (deg): 90.00 90.00 90.00
Fractional positions:
Sr1 0.0000 0.0000 0.0000
Sr2 0.5000 0.5000 0.0000
Bi1 0.1582 0.3418 0.5000
Bi2 0.3418 0.8418 0.5000
Bi3 0.6582 0.1582 0.5000
Bi4 0.8418 0.6582 0.5000
P1 0.1766 0.6766 0.0000
P2 0.3234 0.1766 0.0000
P3 0.6766 0.8234 0.0000
P4 0.8234 0.3234 0.0000

Formation energy from the elements (kJ/mol of atoms): -15
Magnetic moment (μB/cell): 0.00
V (Å³ per cell): 263

***

Record 2
Density functional theory data (SCAN) for CsVP2O7 at its PBEsol-relaxed geometry.

a b c (Å): 7.6946 10.0185 8.3478
angles (deg): 90.00 105.07 90.00
Fractional positions:
Cs1 0.1949 0.1987 0.0438
Cs2 0.1949 0.3013 0.5438
Cs3 0.8051 0.6987 0.4562
Cs4 0.8051 0.8013 0.9562
V1 0.2398 0.6002 0.2594
V2 0.2398 0.8998 0.7594
V3 0.7602 0.1002 0.2406
V4 0.7602 0.3998 0.7406
P1 0.1302 0.5957 0.8332
P2 0.1302 0.9043 0.3332
P3 0.4261 0.6284 0.6832
P4 0.4261 0.8716 0.1832
P5 0.5739 0.1284 0.8168
P6 0.5739 0.3716 0.3168
P7 0.8698 0.0957 0.6668
P8 0.8698 0.4043 0.1668
O1 0.0145 0.0027 0.7671
O2 0.0145 0.4973 0.2671
O3 0.0930 0.7384 0.7667
O4 0.0930 0.7616 0.2667
O5 0.1557 0.5859 0.0184
O6 0.1557 0.9141 0.5184
O7 0.3177 0.5481 0.7972
O8 0.3177 0.9519 0.2972
O9 0.3214 0.6026 0.5047
O10 0.3214 0.8974 0.0047
O11 0.3853 0.0688 0.7694
O12 0.3853 0.4312 0.2694
O13 0.4348 0.7245 0.2343
O14 0.4348 0.7755 0.7343
O15 0.5652 0.2245 0.2657
O16 0.5652 0.2755 0.7657
O17 0.6147 0.5688 0.7306
O18 0.6147 0.9312 0.2306
O19 0.6786 0.1026 0.9953
O20 0.6786 0.3974 0.4953
O21 0.6823 0.0481 0.7028
O22 0.6823 0.4519 0.2028
O23 0.8443 0.0859 0.4816
O24 0.8443 0.4141 0.9816
O25 0.9070 0.2384 0.7333
O26 0.9070 0.2616 0.2333
O27 0.9855 0.5027 0.7329
O28 0.9855 0.9973 0.2329

E_form (uncorrected) (eV/atom): -2.61
Magnetic moment (μB/cell): 8.00
V (Å³ per cell): 621

***

Record 3
Density functional theory data (SCAN) for LiNiRh2 at its PBEsol-relaxed geometry.

a b c (Å): 8.4722 2.6114 4.5456
angles (deg): 90.00 99.52 90.00
Fractional positions:
Li1 0.0000 0.0000 0.0000
Li2 0.5000 0.5000 0.0000
Ni1 0.0000 0.5000 0.5000
Ni2 0.5000 0.0000 0.5000
Rh1 0.2408 0.0000 0.7456
Rh2 0.2592 0.5000 0.2544
Rh3 0.7408 0.5000 0.7456
Rh4 0.7592 0.0000 0.2544

Formation energy from the elements (kJ/mol of atoms): -6
Magnetic moment (μB/cell): 3.90
V (Å³ per cell): 99

***

Record 4
Density functional theory data (SCAN) for LiAg2F4 at its PBEsol-relaxed geometry.

a b c (Å): 5.4160 5.4160 6.6810
angles (deg): 90.00 90.00 75.79
Fractional positions:
Li1 0.0000 0.0000 0.0000
Li2 0.5000 0.5000 0.5000
Ag1 0.0027 0.4973 0.2500
Ag2 0.4973 0.0027 0.7500
Ag3 0.5027 0.9973 0.2500
Ag4 0.9973 0.5027 0.7500
F1 0.2173 0.2173 0.0000
F2 0.2394 0.7606 0.7683
F3 0.2606 0.7394 0.2683
F4 0.2827 0.2827 0.5000
F5 0.7173 0.7173 0.5000
F6 0.7394 0.2606 0.7317
F7 0.7606 0.2394 0.2317
F8 0.7827 0.7827 0.0000

E_form (uncorrected) (eV/atom): -1.70
Magnetic moment (μB/cell): 0.00
V (Å³ per cell): 190

***

Record 5
Density functional theory data (SCAN) for Tl2PbAu at its PBEsol-relaxed geometry.

a b c (Å): 3.5980 3.5980 7.7588
angles (deg): 90.00 90.00 90.00
Fractional positions:
Tl1 0.0000 0.0000 0.2137
Tl2 0.0000 0.0000 0.7863
Pb1 0.5000 0.5000 0.5000
Au1 0.5000 0.5000 0.0000

Formation energy from the elements (kJ/mol of atoms): 5
Magnetic moment (μB/cell): 0.00
V (Å³ per cell): 100

***

Record 6
Density functional theory data (SCAN) for AlCr2Co at its PBEsol-relaxed geometry.

a b c (Å): 2.5374 2.5374 7.1522
angles (deg): 90.00 90.00 90.00
Fractional positions:
Al1 0.0000 0.0000 0.0000
Cr1 0.5000 0.5000 0.2665
Cr2 0.5000 0.5000 0.7335
Co1 0.0000 0.0000 0.5000

Formation energy from the elements (kJ/mol of atoms): 9
Magnetic moment (μB/cell): 0.78
V (Å³ per cell): 46

***

Record 7
Density functional theory data (SCAN) for CuNiTe2N at its PBEsol-relaxed geometry.

a b c (Å): 5.1671 5.1671 3.4003
angles (deg): 90.00 90.00 90.00
Fractional positions:
Cu1 0.0000 0.0000 0.0000
Ni1 0.5000 0.5000 0.5000
Te1 0.0000 0.5000 0.0000
Te2 0.5000 0.0000 0.0000
N1 0.0000 0.0000 0.5000

E_form (uncorrected) (eV/atom): 0.96
Magnetic moment (μB/cell): 1.51
V (Å³ per cell): 91

***

Record 8
Density functional theory data (SCAN) for TcIr2Rh at its PBEsol-relaxed geometry.

a b c (Å): 2.6893 3.8078 5.3990
angles (deg): 90.00 90.00 90.00
Fractional positions:
Tc1 0.0000 0.0000 0.0000
Ir1 0.5000 0.5000 0.2475
Ir2 0.5000 0.5000 0.7525
Rh1 0.0000 0.0000 0.5000

Formation energy from the elements (kJ/mol of atoms): -17
Magnetic moment (μB/cell): 0.00
V (Å³ per cell): 55

***

Record 9
Density functional theory data (SCAN) for NaCa3Pt at its PBEsol-relaxed geometry.

a b c (Å): 8.6762 3.9538 9.2388
angles (deg): 90.00 101.43 90.00
Fractional positions:
Na1 0.1686 0.2500 0.0159
Na2 0.8314 0.7500 0.9841
Ca1 0.0279 0.7500 0.6557
Ca2 0.3434 0.7500 0.4005
Ca3 0.4158 0.7500 0.8124
Ca4 0.5842 0.2500 0.1876
Ca5 0.6566 0.2500 0.5995
Ca6 0.9721 0.2500 0.3443
Pt1 0.2638 0.2500 0.5993
Pt2 0.7362 0.7500 0.4007

Formation energy from the elements (kJ/mol of atoms): -52
Magnetic moment (μB/cell): 0.04
V (Å³ per cell): 311

***

Record 10
Density functional theory data (SCAN) for Fe3BiSe at its PBEsol-relaxed geometry.

a b c (Å): 4.9128 4.9128 4.9128
angles (deg): 90.00 90.00 90.00
Fractional positions:
Fe1 0.0000 0.0000 0.5000
Fe2 0.0000 0.5000 0.0000
Fe3 0.5000 0.0000 0.0000
Bi1 0.0000 0.0000 0.0000
Se1 0.5000 0.5000 0.5000

E_form (uncorrected) (eV/atom): 1.38
Magnetic moment (μB/cell): 11.01
V (Å³ per cell): 119

***

Record 11
Density functional theory data (SCAN) for In2SbSeS at its PBEsol-relaxed geometry.

a b c (Å): 5.2188 5.2188 4.7544
angles (deg): 90.00 90.00 90.00
Fractional positions:
In1 0.0000 0.5000 0.0000
In2 0.5000 0.0000 0.0000
Sb1 0.0000 0.0000 0.5000
Se1 0.5000 0.5000 0.5000
S1 0.5000 0.5000 0.0000

E_form (uncorrected) (eV/atom): 0.25
Magnetic moment (μB/cell): 0.00
V (Å³ per cell): 129

***

Record 12
Density functional theory data (SCAN) for FeBr3 at its PBEsol-relaxed geometry.

a b c (Å): 6.9874 6.9874 6.9874
angles (deg): 90.00 90.00 90.00
Fractional positions:
Fe1 0.0000 0.0000 0.0000
Fe2 0.0000 0.5000 0.5000
Fe3 0.5000 0.0000 0.5000
Fe4 0.5000 0.5000 0.0000
Br1 0.0000 0.0000 0.5000
Br2 0.0000 0.5000 0.0000
Br3 0.2500 0.2500 0.2500
Br4 0.2500 0.2500 0.7500
Br5 0.2500 0.7500 0.2500
Br6 0.2500 0.7500 0.7500
Br7 0.5000 0.0000 0.0000
Br8 0.5000 0.5000 0.5000
Br9 0.7500 0.2500 0.2500
Br10 0.7500 0.2500 0.7500
Br11 0.7500 0.7500 0.2500
Br12 0.7500 0.7500 0.7500

E_form (uncorrected) (eV/atom): 0.46
Magnetic moment (μB/cell): 20.12
V (Å³ per cell): 341